[1]
DFT (SCAN) results for a PBEsol-optimized structure of RbTaSb2.

Properties
The energy above the most stable polymorph in this dataset is 0.000 eV per atom. For the total energy, the calculation gives -2.96051 Ry/atom. As for the magnetic moment: 0.00 μB/cell. For the uncorrected formation energy, the calculation gives 70 kJ/mol of formula units.

Lattice parameters (Å, degrees): 7.6534 8.1046 7.6534 118.17 90.00 118.17
With the nearest neighbours (Å) after each atom.
Element x y z (fractional)
Sb (0.2492, 0.2500, 0.3750)  2 Ta 2.62
Sb (0.0008, 0.2500, 0.8750)  2 Ta 2.62
Sb (0.6250, 0.7500, 0.9992)  2 Ta 2.62
Sb (0.1250, 0.7500, 0.7508)  2 Ta 2.62
Rb (0.5000, 0.0000, 0.5000)  4 Sb 3.77
Rb (0.7500, 0.5000, 0.2500)  4 Sb 3.77
Ta (0.0000, 0.0000, 0.0000)  4 Sb 2.62
Ta (0.2500, 0.5000, 0.7500)  4 Sb 2.62

***

[2]
DFT (SCAN) results for a PBEsol-optimized structure of LaMgSN2.

Properties
For the total energy, the calculation gives -1.14796 Ry/atom. As for the magnetic moment: 3.00 μB/cell. For the uncorrected formation energy, the calculation gives -174 kJ/mol of formula units.

Lattice parameters (Å, degrees): 4.1167 4.1167 4.6589 90.00 90.00 90.00
With the nearest neighbours (Å) after each atom.
Element x y z (fractional)
N (0.5000, 0.0000, 0.0000)  2 Mg 2.06
N (0.0000, 0.5000, 0.0000)  2 Mg 2.06
La (0.5000, 0.5000, 0.5000)  4 S 2.91, 8 N 3.11
S (0.0000, 0.0000, 0.5000)  2 Mg 2.33
Mg (0.0000, 0.0000, 0.0000)  4 N 2.06